# 1
An optimized crystal structure of Pa2Zn3Ni4, computed with PBE.

abc: 8.3311 8.3311 6.7130
angles: 90.00 90.00 142.86
With the nearest neighbours (Å) after each atom.
Fractional positions:
Pa 0.1065 0.8935 0.9164  5 Ni 2.65-2.81
Pa 0.3935 0.6065 0.4164  5 Ni 2.65-2.81
Pa 0.6065 0.3935 0.5836  5 Ni 2.65-2.81
Pa 0.8935 0.1065 0.0836  5 Ni 2.65-2.81
Zn 0.0000 0.0000 0.5000  6 Ni 2.44-2.55
Zn 0.0170 0.4830 0.7500  5 Ni 2.50-2.60, 2 Zn 2.65
Zn 0.4830 0.0170 0.2500  5 Ni 2.50-2.60, 2 Zn 2.65
Zn 0.5000 0.5000 0.0000  6 Ni 2.44-2.55
Zn 0.5170 0.9830 0.7500  5 Ni 2.50-2.60, 2 Zn 2.65
Zn 0.9830 0.5170 0.2500  5 Ni 2.50-2.60, 2 Zn 2.65
Ni 0.1610 0.8390 0.5305  5 Zn 2.55-2.60, 2 Ni 2.68, 3 Pa 2.73-2.81
Ni 0.1755 0.3245 0.7500  3 Zn 2.44-2.50, 2 Pa 2.65, 4 Ni 2.65-2.68
Ni 0.3245 0.1755 0.2500  3 Zn 2.44-2.50, 2 Pa 2.65, 4 Ni 2.65-2.68
Ni 0.3390 0.6610 0.0305  5 Zn 2.55-2.60, 2 Ni 2.68, 3 Pa 2.73-2.81
Ni 0.6610 0.3390 0.9695  5 Zn 2.55-2.60, 2 Ni 2.68, 3 Pa 2.73-2.81
Ni 0.6755 0.8245 0.7500  3 Zn 2.44-2.50, 2 Pa 2.65, 4 Ni 2.65-2.68
Ni 0.8245 0.6755 0.2500  3 Zn 2.44-2.50, 2 Pa 2.65, 4 Ni 2.65-2.68
Ni 0.8390 0.1610 0.4695  5 Zn 2.55-2.60, 2 Ni 2.68, 3 Pa 2.73-2.81

Its space-group type is Cmce, No. 64. For the formation energy, the calculation gives -2.74 eV/f.u.

=====

# 2
An optimized crystal structure of Zr2GaB2Ru5, computed with PBE.

abc: 9.3942 9.3942 3.0931
angles: 90.00 90.00 90.00
With the nearest neighbours (Å) after each atom.
Fractional positions:
Zr 0.1755 0.3245 0.0000  3 B 2.66-2.86, 10 Ru 2.80-2.96
Zr 0.3245 0.8245 0.0000  3 B 2.66-2.86, 10 Ru 2.80-2.96
Zr 0.6755 0.1755 0.0000  3 B 2.66-2.86, 10 Ru 2.80-2.96
Zr 0.8245 0.6755 0.0000  3 B 2.66-2.86, 10 Ru 2.80-2.96
Ga 0.0000 0.0000 0.0000  8 Ru 2.64
Ga 0.5000 0.5000 0.0000  8 Ru 2.64
B 0.1246 0.6246 0.0000  6 Ru 2.21-2.27
B 0.3754 0.1246 0.0000  6 Ru 2.21-2.27
B 0.6246 0.8754 0.0000  6 Ru 2.21-2.27
B 0.8754 0.3754 0.0000  6 Ru 2.21-2.27
Ru 0.0000 0.5000 0.5000  4 B 2.27
Ru 0.0703 0.7840 0.5000  2 B 2.21
Ru 0.2160 0.0703 0.5000  2 B 2.21
Ru 0.2840 0.5703 0.5000  2 B 2.21
Ru 0.4297 0.2840 0.5000  2 B 2.21
Ru 0.5000 0.0000 0.5000  4 B 2.27
Ru 0.5703 0.7160 0.5000  2 B 2.21
Ru 0.7160 0.4297 0.5000  2 B 2.21
Ru 0.7840 0.9297 0.5000  2 B 2.21
Ru 0.9297 0.2160 0.5000  2 B 2.21

Its space-group type is P4/mbm, No. 127. For the formation energy, the calculation gives -6.18 eV/f.u.

=====

# 3
An optimized crystal structure of NpCdSiO6, computed with PBE.

abc: 5.1996 5.1996 9.6474
angles: 90.00 90.00 120.00
With the nearest neighbours (Å) after each atom.
Fractional positions:
Np 0.3333 0.6667 0.2500  6 O 2.08
Np 0.6667 0.3333 0.7500  6 O 2.08
Cd 0.0000 0.0000 0.0000  6 O 2.36
Cd 0.0000 0.0000 0.5000  6 O 2.36
Si 0.3333 0.6667 0.7500  6 O 1.82
Si 0.6667 0.3333 0.2500  6 O 1.82
O 0.0385 0.3840 0.6440  1 Si 1.82
O 0.0385 0.6545 0.8560  1 Si 1.82
O 0.3455 0.3840 0.8560  1 Si 1.82
O 0.3455 0.9615 0.6440  1 Si 1.82
O 0.3840 0.0385 0.1440  1 Si 1.82
O 0.3840 0.3455 0.3560  1 Si 1.82
O 0.6160 0.6545 0.6440  1 Si 1.82
O 0.6160 0.9615 0.8560  1 Si 1.82
O 0.6545 0.0385 0.3560  1 Si 1.82
O 0.6545 0.6160 0.1440  1 Si 1.82
O 0.9615 0.3455 0.1440  1 Si 1.82
O 0.9615 0.6160 0.3560  1 Si 1.82

The uncorrected formation energy is -2.237 eV per atom. Its space-group type is P-31c, No. 163.

=====

# 4
An optimized crystal structure of Sr5P3O14, computed with PBE.

abc: 9.9121 9.9121 7.3276
angles: 90.00 90.00 120.00
With the nearest neighbours (Å) after each atom.
Fractional positions:
Sr 0.0087 0.2545 0.2500  7 O 2.49-2.74
Sr 0.2459 0.9913 0.2500  7 O 2.49-2.74
Sr 0.2545 0.2459 0.7500  7 O 2.49-2.74
Sr 0.3333 0.6667 0.0000  6 O 2.60-2.61
Sr 0.3333 0.6667 0.5000  6 O 2.60-2.61
Sr 0.6667 0.3333 0.0000  6 O 2.60-2.61
Sr 0.6667 0.3333 0.5000  6 O 2.60-2.61
Sr 0.7455 0.7541 0.2500  7 O 2.49-2.74
Sr 0.7541 0.0087 0.7500  7 O 2.49-2.74
Sr 0.9913 0.7455 0.7500  7 O 2.49-2.74
P 0.0323 0.4021 0.7500  4 O 1.56
P 0.3698 0.9677 0.7500  4 O 1.56
P 0.4021 0.3698 0.2500  4 O 1.56
P 0.5979 0.6302 0.7500  4 O 1.56
P 0.6302 0.0323 0.2500  4 O 1.56
P 0.9677 0.5979 0.2500  4 O 1.56
O 0.0000 0.0000 0.0916  1 O 1.34
O 0.0000 0.0000 0.4084  1 O 1.34
O 0.0000 0.0000 0.5916  1 O 1.34
O 0.0000 0.0000 0.9084  1 O 1.34
O 0.0858 0.3492 0.5780  1 P 1.56
O 0.0858 0.3492 0.9220  1 P 1.56
O 0.1190 0.5840 0.7500  1 P 1.56
O 0.1476 0.6673 0.2500  1 P 1.56
O 0.2634 0.9142 0.5780  1 P 1.56
O 0.2634 0.9142 0.9220  1 P 1.56
O 0.3327 0.4803 0.2500  1 P 1.56
O 0.3492 0.2634 0.0780  1 P 1.56
O 0.3492 0.2634 0.4220  1 P 1.56
O 0.4160 0.5349 0.7500  1 P 1.56
O 0.4651 0.8810 0.7500  1 P 1.56
O 0.4803 0.1476 0.7500  1 P 1.56
O 0.5197 0.8524 0.2500  1 P 1.56
O 0.5349 0.1190 0.2500  1 P 1.56
O 0.5840 0.4651 0.2500  1 P 1.56
O 0.6508 0.7366 0.5780  1 P 1.56
O 0.6508 0.7366 0.9220  1 P 1.56
O 0.6673 0.5197 0.7500  1 P 1.56
O 0.7366 0.0858 0.0780  1 P 1.56
O 0.7366 0.0858 0.4220  1 P 1.56
O 0.8524 0.3327 0.7500  1 P 1.56
O 0.8810 0.4160 0.2500  1 P 1.56
O 0.9142 0.6508 0.0780  1 P 1.56
O 0.9142 0.6508 0.4220  1 P 1.56

The uncorrected formation energy is -2.733 eV per atom. Its space-group type is P6_3/m, No. 176.

=====

# 5
An optimized crystal structure of MgScCdAs2, computed with PBE.

abc: 5.2123 5.2123 4.8591
angles: 90.00 90.00 90.00
With the nearest neighbours (Å) after each atom.
Fractional positions:
Mg 0.0000 0.0000 0.0000  2 Cd 2.43
Sc 0.5000 0.5000 0.0000  8 As 3.56, 4 Mg 3.69
Cd 0.0000 0.0000 0.5000  2 Mg 2.43, 4 As 2.61
As 0.0000 0.5000 0.5000  2 Cd 2.61
As 0.5000 0.0000 0.5000  2 Cd 2.61

Its space-group type is P4/mmm, No. 123. For the formation energy, the calculation gives 2.52 eV/f.u.

=====

# 6
An optimized crystal structure of La2RuCl, computed with PBE.

abc: 7.9726 7.9726 7.9726
angles: 132.14 132.14 70.01
With the nearest neighbours (Å) after each atom.
Fractional positions:
La 0.0782 0.6250 0.9532  2 Ru 2.65
La 0.3750 0.3282 0.4532  2 Ru 2.65
La 0.6718 0.1250 0.0468  2 Ru 2.65
La 0.8750 0.9218 0.5468  2 Ru 2.65
Ru 0.0000 0.0000 0.0000  4 La 2.65
Ru 0.7500 0.2500 0.5000  4 La 2.65
Cl 0.2500 0.7500 0.5000  4 La 2.99
Cl 0.5000 0.5000 0.0000  4 La 2.99

The uncorrected formation energy is -0.700 eV per atom. Its space-group type is I-42d, No. 122.

=====

# 7
An optimized crystal structure of La3PrRu, computed with PBE.

abc: 5.6056 5.6056 5.6056
angles: 90.00 90.00 90.00
With the nearest neighbours (Å) after each atom.
Fractional positions:
La 0.0000 0.0000 0.5000  2 Ru 2.80
La 0.0000 0.5000 0.0000  2 Ru 2.80
La 0.5000 0.0000 0.0000  2 Ru 2.80
Pr 0.5000 0.5000 0.5000  12 La 3.96
Ru 0.0000 0.0000 0.0000  6 La 2.80

Its space-group type is Pm-3m, No. 221. For the formation energy, the calculation gives -0.37 eV/f.u.

=====

# 8
An optimized crystal structure of LaHfPd3, computed with PBE.

abc: 4.9683 4.9683 4.9683
angles: 90.00 90.00 90.00
With the nearest neighbours (Å) after each atom.
Fractional positions:
La 0.0000 0.0000 0.0000  12 Pd 3.51
Hf 0.5000 0.5000 0.5000  6 Pd 2.48
Pd 0.0000 0.5000 0.5000  2 Hf 2.48
Pd 0.5000 0.0000 0.5000  2 Hf 2.48
Pd 0.5000 0.5000 0.0000  2 Hf 2.48

Its space-group type is Pm-3m, No. 221. For the formation energy, the calculation gives -1.10 eV/f.u.

=====

# 9
An optimized crystal structure of Rb6Hg2HO, computed with PBE.

abc: 8.2697 8.2697 8.2732
angles: 119.99 119.99 89.98
With the nearest neighbours (Å) after each atom.
Fractional positions:
Rb 0.0000 0.0000 0.0000  1 O 2.79, 1 H 3.06
Rb 0.9996 0.9996 0.4766  1 O 2.79, 1 H 3.06
Rb 0.9999 0.5227 0.9998  1 O 2.79, 1 H 3.06
Rb 0.5227 0.9999 0.9998  1 O 2.79, 1 H 3.06
Rb 0.5227 0.5227 0.9997  1 O 2.79, 1 H 3.06
Rb 0.5229 0.5229 0.5227  1 O 2.79, 1 H 3.06
Hg 0.0127 0.5114 0.5013  12 Rb 4.13-4.15
Hg 0.5114 0.0127 0.5013  12 Rb 4.13-4.15
H 0.2609 0.2609 0.9990  6 Rb 3.06
O 0.7612 0.7612 0.9996  6 Rb 2.79

Its space-group type is Cm, No. 8. The calculation puts the final energy at -1.84 eV per atom.

=====

# 10
An optimized crystal structure of HoEr3Tl3Te8, computed with PBE.

abc: 8.7382 8.7382 9.6256
angles: 117.07 117.07 59.90
With the nearest neighbours (Å) after each atom.
Fractional positions:
Ho 0.0000 0.0000 0.0000  6 Te 3.09
Er 0.0000 0.5000 0.0000  6 Te 3.06-3.07
Er 0.5000 0.0000 0.0000  6 Te 3.06-3.07
Er 0.5000 0.5000 0.0000  6 Te 3.06-3.07
Tl 0.0000 0.0000 0.5000  6 Te 3.44-3.45
Tl 0.0000 0.5000 0.5000  6 Te 3.44-3.45
Tl 0.5000 0.0000 0.5000  6 Te 3.44-3.45
Te 0.2393 0.2393 0.2137  2 Er 3.06, 1 Ho 3.09
Te 0.2393 0.7351 0.2137  2 Er 3.06, 1 Ho 3.09
Te 0.2621 0.2621 0.7863  3 Er 3.07
Te 0.2649 0.7607 0.7863  2 Er 3.06, 1 Ho 3.09
Te 0.7351 0.2393 0.2137  2 Er 3.06, 1 Ho 3.09
Te 0.7379 0.7379 0.2137  3 Er 3.07
Te 0.7607 0.2649 0.7863  2 Er 3.06, 1 Ho 3.09
Te 0.7607 0.7607 0.7863  2 Er 3.06, 1 Ho 3.09

The uncorrected formation energy is -1.042 eV per atom. Its space-group type is C2/m, No. 12.